A geometry-optimized NbW3O structure. Source: the Alexandria database, functional GGA+U.

Output
VASP energy = -34.0 eV for the cell shown
space group = Pm-3m

a = 4.2709 Å, b = 4.2709 Å, c = 4.2709 Å
α = 90.00°, β = 90.00°, γ = 90.00°
Positions (direct):
Nb  0.0000  0.0000  0.0000
W  0.0000  0.5000  0.5000
W  0.5000  0.0000  0.5000
W  0.5000  0.5000  0.0000
O  0.5000  0.5000  0.5000